VASP calculation (meta-GGA SCAN) on FeP2Ru at its PBEsol-relaxed geometry.

Cell: 2.840 4.604 4.604 Å, 106.63 106.99 106.99°
Fractional coordinates of all 4 atoms:
Fe 0.000 0.500 0.500
P 0.000 0.500 0.000
P 0.000 0.000 0.500
Ru 0.000 0.000 0.000

Summary:
Calculated total energy, eV per atom: -18.25
E_form, eV/atom: 0.187

---

VASP calculation (meta-GGA SCAN) on FeP2Ru at its PBEsol-relaxed geometry.

Cell: 2.968 4.001 4.636 Å, 102.51 90.00 111.77°
Fractional coordinates of all 4 atoms:
Fe 0.274 0.547 0.903
P 0.980 0.960 0.859
P 0.752 0.504 0.262
Ru 0.495 0.989 0.475

Summary:
Calculated total energy, eV per atom: -18.76
E_form, eV/atom: -0.324

---

VASP calculation (meta-GGA SCAN) on Tl2FePRu at its PBEsol-relaxed geometry.

Cell: 4.014 4.938 4.938 Å, 90.00 90.00 90.00°
Fractional coordinates of all 5 atoms:
Ru 0.500 0.500 0.500
Tl 0.000 0.000 0.500
Tl 0.000 0.500 0.000
Fe 0.000 0.000 0.000
P 0.500 0.000 0.000

Summary:
Calculated total energy, eV per atom: -40.67
E_form, eV/atom: 0.948

---

no.,spin magnetization (μB/atom)
1,0.5021
2,0.0001
3,0.2737